# Pr3Nd3ErS8 PBE relaxed
data_Pr3Nd3ErS8
_cell_length_a 8.1287
_cell_length_b 8.1287
_cell_length_c 19.9753
_cell_angle_alpha 90.00
_cell_angle_beta 90.00
_cell_angle_gamma 120.00
_symmetry_space_group_name_H-M 'R -3 m'
_symmetry_Int_Tables_number 166
_symmetry_space_group_name_Hall '-R 3 2"'
loop_
_atom_site_label
_atom_site_fract_x
_atom_site_fract_y
_atom_site_fract_z
Pr1 0.0000 0.5000 0.0000
Nd1 0.0000 0.5000 0.5000
Er1 0.0000 0.0000 0.5000
S1 0.0000 0.0000 0.2490
S2 0.0123 0.5061 0.2460
# - energy relative to the elements, uncorrected (kJ per mole of atoms) = -198
# - calculated density (Mg/m³) = 5.6

# BaAc2PdO5 PBE relaxed
data_BaAc2PdO5
_cell_length_a 7.1305
_cell_length_b 7.1305
_cell_length_c 12.5512
_cell_angle_alpha 90.00
_cell_angle_beta 90.00
_cell_angle_gamma 90.00
_symmetry_space_group_name_H-M 'I 4/m c m'
_symmetry_Int_Tables_number 140
_symmetry_space_group_name_Hall '-I 4 2c'
loop_
_atom_site_label
_atom_site_fract_x
_atom_site_fract_y
_atom_site_fract_z
Ba1 0.0000 0.0000 0.2500
Ac1 0.1736 0.3264 0.0000
Pd1 0.0000 0.5000 0.2500
O1 0.0000 0.0000 0.0000
O2 0.1413 0.3587 0.3757
# - energy relative to the elements, uncorrected (kJ per mole of atoms) = -228
# - calculated density (Mg/m³) = 8.1

# BTe2PdPt PBE relaxed
data_BTe2PdPt
_cell_length_a 5.1395
_cell_length_b 5.1395
_cell_length_c 5.0570
_cell_angle_alpha 90.00
_cell_angle_beta 90.00
_cell_angle_gamma 90.00
_symmetry_space_group_name_H-M 'P 4/m m m'
_symmetry_Int_Tables_number 123
_symmetry_space_group_name_Hall '-P 4 2'
loop_
_atom_site_label
_atom_site_fract_x
_atom_site_fract_y
_atom_site_fract_z
B1 0.0000 0.0000 0.0000
Te1 0.0000 0.5000 0.5000
Pd1 0.5000 0.5000 0.5000
Pt1 0.5000 0.5000 0.0000
# - energy relative to the elements, uncorrected (kJ per mole of atoms) = 140
# - calculated density (Mg/m³) = 7.1

# Cd3SnAu12 PBE relaxed
data_Cd3SnAu12
_cell_length_a 4.1752
_cell_length_b 4.1752
_cell_length_c 17.2940
_cell_angle_alpha 90.00
_cell_angle_beta 90.00
_cell_angle_gamma 90.00
_symmetry_space_group_name_H-M 'P 4/m m m'
_symmetry_Int_Tables_number 123
_symmetry_space_group_name_Hall '-P 4 2'
loop_
_atom_site_label
_atom_site_fract_x
_atom_site_fract_y
_atom_site_fract_z
Cd1 0.0000 0.0000 0.0000
Cd2 0.0000 0.0000 0.2474
Sn1 0.0000 0.0000 0.5000
Au1 0.0000 0.5000 0.1236
Au2 0.0000 0.5000 0.3711
Au3 0.5000 0.5000 0.0000
Au4 0.5000 0.5000 0.2471
Au5 0.5000 0.5000 0.5000
# - formation energy (eV per atom) = -0.09
# - calculated density (Mg/m³) = 15.5

# CaTa2Mo PBE relaxed
data_CaTa2Mo
_cell_length_a 3.1957
_cell_length_b 5.1812
_cell_length_c 9.8636
_cell_angle_alpha 90.00
_cell_angle_beta 90.00
_cell_angle_gamma 90.00
_symmetry_space_group_name_H-M 'I m m m'
_symmetry_Int_Tables_number 71
_symmetry_space_group_name_Hall '-I 2 2'
loop_
_atom_site_label
_atom_site_fract_x
_atom_site_fract_y
_atom_site_fract_z
Ca1 0.0000 0.0000 0.0000
Ta1 0.0000 0.5000 0.2141
Mo1 0.0000 0.0000 0.5000
# - formation energy (eV per atom) = 0.53
# - calculated density (Mg/m³) = 10.1

# BaLaCoHg2 PBE relaxed
data_BaLaCoHg2
_cell_length_a 5.3966
_cell_length_b 5.3966
_cell_length_c 4.8522
_cell_angle_alpha 90.00
_cell_angle_beta 90.00
_cell_angle_gamma 90.00
_symmetry_space_group_name_H-M 'P 4/m m m'
_symmetry_Int_Tables_number 123
_symmetry_space_group_name_Hall '-P 4 2'
loop_
_atom_site_label
_atom_site_fract_x
_atom_site_fract_y
_atom_site_fract_z
Ba1 0.0000 0.0000 0.0000
La1 0.5000 0.5000 0.0000
Co1 0.5000 0.5000 0.5000
Hg1 0.0000 0.5000 0.5000
# - formation energy (eV per atom) = -0.27
# - calculated density (Mg/m³) = 8.7

# CsIO2F PBE relaxed
data_CsIO2F
_cell_length_a 4.5600
_cell_length_b 4.5600
_cell_length_c 5.4938
_cell_angle_alpha 90.00
_cell_angle_beta 90.00
_cell_angle_gamma 90.00
_symmetry_space_group_name_H-M 'P 4/m m m'
_symmetry_Int_Tables_number 123
_symmetry_space_group_name_Hall '-P 4 2'
loop_
_atom_site_label
_atom_site_fract_x
_atom_site_fract_y
_atom_site_fract_z
Cs1 0.0000 0.0000 0.0000
I1 0.5000 0.5000 0.5000
O1 0.0000 0.5000 0.0000
F1 0.0000 0.0000 0.5000
# - energy relative to the elements, uncorrected (kJ per mole of atoms) = 36
# - calculated density (Mg/m³) = 4.5

# LiMnH2Ir PBE relaxed
data_LiMnH2Ir
_cell_length_a 3.5751
_cell_length_b 3.5751
_cell_length_c 4.8781
_cell_angle_alpha 90.00
_cell_angle_beta 90.00
_cell_angle_gamma 90.00
_symmetry_space_group_name_H-M 'P 4/m m m'
_symmetry_Int_Tables_number 123
_symmetry_space_group_name_Hall '-P 4 2'
loop_
_atom_site_label
_atom_site_fract_x
_atom_site_fract_y
_atom_site_fract_z
Li1 0.0000 0.0000 0.0000
Mn1 0.5000 0.5000 0.0000
H1 0.0000 0.5000 0.5000
Ir1 0.5000 0.5000 0.5000
# - calculated density (Mg/m³) = 6.8

| no. | raw total energy (eV per atom) |
| --- | --- |
| 1 | -6.462 |
| 2 | -6.816 |
| 3 | -3.388 |
| 4 | -2.973 |
| 5 | -8.601 |
| 6 | -3.178 |
| 7 | -2.466 |
| 8 | -4.904 |